# 1
# RbCoBi3, relaxed, DFT PBE-GGA
data_RbCoBi3
_chemical_formula_sum 'Rb1 Co1 Bi3'
_cell_length_a 6.087
_cell_length_b 6.087
_cell_length_c 6.087
_cell_angle_alpha 90.00
_cell_angle_beta 90.00
_cell_angle_gamma 90.00
_symmetry_space_group_name_H-M 'P m -3 m'
_symmetry_Int_Tables_number 221
_symmetry_space_group_name_Hall '-P 4 2 3'
loop_
_atom_site_label
_atom_site_type_symbol
_atom_site_fract_x
_atom_site_fract_y
_atom_site_fract_z
Rb1 Rb 0.000 0.000 0.000
Co1 Co 0.500 0.500 0.500
Bi1 Bi 0.000 0.000 0.500
# Relative energy among the computed polymorphs ... 8.831 eV/f.u.
# Total magnetic moment ... 0.5994 μB per atom
# Energy relative to the elements ... 9.760 eV/f.u.
# Uncorrected energy ... -10.0 eV/cell
# Crystal system ... cubic

=====

# 2
# Rb4Co2Bi, relaxed, DFT PBE-GGA
data_Rb4Co2Bi
_chemical_formula_sum 'Rb8 Co4 Bi2'
_cell_length_a 7.263
_cell_length_b 7.263
_cell_length_c 16.337
_cell_angle_alpha 90.00
_cell_angle_beta 90.00
_cell_angle_gamma 90.00
_symmetry_space_group_name_H-M 'I 4/m m m'
_symmetry_Int_Tables_number 139
_symmetry_space_group_name_Hall '-I 4 2'
loop_
_atom_site_label
_atom_site_type_symbol
_atom_site_fract_x
_atom_site_fract_y
_atom_site_fract_z
Rb1 Rb 0.000 0.000 0.217
Rb2 Rb 0.000 0.500 0.000
Co1 Co 0.000 0.000 0.437
Bi1 Bi 0.000 0.000 0.000
# Total magnetic moment ... 0.7168 μB per atom
# Energy relative to the elements ... 4.844 eV/f.u.
# Uncorrected energy ... -34.2 eV/cell
# Crystal system ... tetragonal

=====

# 3
# RbCoBi3, relaxed, DFT PBE-GGA
data_RbCoBi3
_chemical_formula_sum 'Rb1 Co1 Bi3'
_cell_length_a 5.354
_cell_length_b 5.354
_cell_length_c 5.354
_cell_angle_alpha 90.00
_cell_angle_beta 90.00
_cell_angle_gamma 90.00
_symmetry_space_group_name_H-M 'P m -3 m'
_symmetry_Int_Tables_number 221
_symmetry_space_group_name_Hall '-P 4 2 3'
loop_
_atom_site_label
_atom_site_type_symbol
_atom_site_fract_x
_atom_site_fract_y
_atom_site_fract_z
Rb1 Rb 0.000 0.000 0.000
Co1 Co 0.500 0.500 0.500
Bi1 Bi 0.000 0.500 0.500
# Relative energy among the computed polymorphs ... 0.000 eV/f.u.
# Total magnetic moment ... 0.0000 μB per atom
# Energy relative to the elements ... 0.929 eV/f.u.
# Uncorrected energy ... -18.8 eV/cell
# Crystal system ... cubic